A plane-wave DFT calculation with PBE+U was carried out for a geometry-optimized PaCo4Cu3O12 structure.

The value obtained for the total energy is -6.302 eV/atom. The calculation puts the density of states at the Fermi level at 0.3557 states/eV/atom.

The space group is Im-3 (No. 204) and the conventional cell measures 7.222, 7.222 and 7.222 Å, with angles of 90.00, 90.00 and 90.00 degrees. Symmetry generates all atoms from Pa at (0.000, 0.000, 0.000), Co at (0.250, 0.250, 0.250), Cu at (0.000, 0.000, 0.500) and O at (0.000, 0.296, 0.171).